The following is a PBE+U calculation of Sr20FeCo9Mo10O60 after structural relaxation, from the Alexandria database.

```
100
Lattice="9.772 0.000 0.000 -3.301 10.814 0.000 -1.577 -3.521 12.123" Properties=species:S:1:pos:R:3 pbc="T T T"
Sr -0.820 1.230 4.220
Sr -2.454 6.614 4.230
Sr 0.804 1.701 0.648
Sr -0.829 7.113 0.617
Sr 0.838 -1.279 9.078
Sr -0.793 4.130 9.058
Sr 2.464 -0.796 5.477
Sr 0.824 4.607 5.477
Sr 4.070 -0.232 1.796
Sr 2.423 5.172 1.802
Sr 2.471 2.121 10.321
Sr 0.824 7.525 10.327
Sr 4.070 2.685 6.645
Sr 2.430 8.088 6.646
Sr 5.688 3.163 3.065
Sr 4.056 8.572 3.045
Sr 5.723 0.180 11.505
Sr 4.090 5.592 11.475
Sr 7.348 0.679 7.892
Sr 5.714 6.063 7.902
Fe -2.439 3.646 6.061
Co -0.788 -1.761 6.061
Co -0.787 1.154 10.913
Co -2.434 6.565 10.910
Co 2.443 2.187 3.639
Co 0.796 7.598 3.636
Co 4.098 -0.305 8.486
Co 2.452 5.105 8.484
Co 7.328 0.728 1.213
Co 5.681 6.139 1.210
Mo -0.828 4.169 2.431
Mo -2.476 9.566 2.425
Mo 0.825 1.668 7.269
Mo -0.819 7.075 7.274
Mo 4.059 2.705 0.000
Mo 0.835 4.588 12.122
Mo 5.713 0.218 4.849
Mo 4.069 5.625 4.853
Mo 7.370 -2.273 9.698
Mo 5.722 3.124 9.692
O -2.580 1.950 10.191
O -4.222 7.366 10.166
O -1.711 3.723 4.110
O -3.340 9.091 4.105
O -3.164 4.629 10.554
O -1.509 -0.781 10.576
O -0.053 0.167 6.394
O -1.707 5.565 6.419
O -1.605 10.030 0.742
O 0.058 4.622 0.757
O -0.660 2.831 6.774
O -2.303 8.241 6.795
O 0.650 2.995 2.923
O -0.993 8.397 2.903
O -0.053 1.208 8.947
O -1.688 6.618 8.956
O 1.715 0.255 3.290
O 0.069 5.666 3.300
O -0.062 3.091 11.252
O 1.593 -2.317 11.258
O 0.050 7.540 5.593
O 1.710 2.134 5.598
O 1.007 0.359 11.639
O -0.646 5.760 11.647
O 2.303 0.500 7.761
O 0.664 5.909 7.756
O 3.183 2.247 1.679
O 1.540 7.647 1.681
O 1.704 3.175 8.140
O 3.372 -2.236 8.140
O 1.522 9.529 3.983
O 3.190 4.118 3.983
O 3.354 -0.354 10.441
O 1.711 5.046 10.443
O 4.230 1.384 4.367
O 2.591 6.793 4.362
O 5.540 1.533 0.476
O 3.887 6.934 0.484
O 3.184 5.159 6.525
O 4.844 -0.247 6.529
O 3.301 9.610 0.865
O 4.956 4.202 0.870
O 4.825 1.627 8.823
O 3.179 7.038 8.833
O 6.582 0.675 3.166
O 4.948 6.085 3.175
O 5.888 -1.104 9.220
O 4.244 4.298 9.200
O 7.197 -0.948 5.328
O 5.554 4.461 5.348
O 4.836 2.671 11.366
O 6.499 -2.737 11.380
O 6.602 1.728 5.704
O 4.947 7.126 5.728
O 6.403 8.074 1.547
O 8.058 2.664 1.568
O 8.234 -1.798 8.018
O 6.605 3.570 8.013
O 9.116 -0.073 1.957
O 7.475 5.342 1.932
```

Summary:
Raw total energy in eV/atom: -6.68
M_tot in μB/f.u.: 27.14